Run one
Compound: TiAgI2O
Source: Alexandria via LeMat-Bulk
Functional: PBE-GGA
Structure: optimized geometry

extended XYZ file:
```
5
Lattice="-1.602 -5.358 -1.306 3.895 -2.062 3.682 -2.557 0.092 2.757" Properties=species:S:1:pos:R:3 pbc="T T T"
I 1.948 -1.031 1.841
I -0.801 -2.679 -0.653
Ag -0.132 -3.664 2.566
Ti 0.000 0.000 0.000
O -1.278 0.046 1.378
```

Calculated values
Magnetic moment in Bohr magnetons per cell: 0.89
Density of states at the Fermi level in states/eV/f.u.: 1.88
Space group: P4/mmm (123)

=====

Run two
Compound: TiAgI2O
Source: Alexandria via LeMat-Bulk
Functional: PBE-GGA
Structure: optimized geometry

extended XYZ file:
```
5
Lattice="5.765 0.000 0.000 0.000 5.765 0.000 0.000 0.000 3.979" Properties=species:S:1:pos:R:3 pbc="T T T"
Ti 2.883 2.883 1.990
O 0.000 0.000 1.990
I 2.883 0.000 0.000
I 0.000 2.883 0.000
Ag 0.000 0.000 0.000
```

Calculated values
Magnetic moment in Bohr magnetons per cell: 1.73
Density of states at the Fermi level in states/eV/f.u.: 5.62
Space group: P4/mmm (123)

=====

Which structure wins on stability? run one wins.

=====

Run one
Compound: TlAgIO2
Source: Alexandria via LeMat-Bulk
Functional: PBE-GGA
Structure: optimized geometry

extended XYZ file:
```
5
Lattice="4.400 0.000 0.000 0.000 4.400 0.000 0.000 0.000 5.595" Properties=species:S:1:pos:R:3 pbc="T T T"
Ag 0.000 0.000 0.000
O 0.000 2.200 0.000
O 2.200 0.000 0.000
I 0.000 0.000 2.798
Tl 2.200 2.200 2.798
```

Calculated values
Magnetic moment in Bohr magnetons per cell: 0.00
Density of states at the Fermi level in states/eV/f.u.: 12.20
Space group: P4/mmm (123)

=====

Run two
Compound: TlAgIO2
Source: Alexandria via LeMat-Bulk
Functional: PBE-GGA
Structure: optimized geometry

extended XYZ file:
```
5
Lattice="-3.936 0.674 -1.215 -0.395 -4.042 -0.963 -2.234 -1.329 6.499" Properties=species:S:1:pos:R:3 pbc="T T T"
Ag -3.282 -2.349 2.160
I -1.117 -0.665 3.249
O -0.197 -2.021 -0.481
O -1.968 0.337 -0.608
Tl 0.000 0.000 0.000
```

Calculated values
Magnetic moment in Bohr magnetons per cell: 0.00
Density of states at the Fermi level in states/eV/f.u.: 2.87
Space group: P4/mmm (123)

=====

Which structure wins on stability? run two wins.